Density functional theory data (PBE) for a relaxed LaAl5IrAu crystal.

Summary:
* theoretical density: 7.20 g/cm3
* total magnetization: 0.0 μB per cell
* E: -5.140 eV per atom

abc: 4.145 7.367 10.016
angles: 90.00 90.00 90.00
Space group Imm2 (No. 44)
One atom of each set of equivalent atoms:
La1 0.000 0.000 0.000 (multiplicity 2)
Al1 0.000 0.181 0.343 (multiplicity 4)
Al2 0.000 0.198 0.644 (multiplicity 4)
Al3 0.000 0.500 0.997 (multiplicity 2)
Ir1 0.000 0.500 0.759 (multiplicity 2)
Au1 0.000 0.500 0.245 (multiplicity 2)